! KI2N2 (PBE, relaxed); values from VASP
&SYSTEM
  ibrav = 0, nat = 10, ntyp = 3
/
ATOMIC_SPECIES
K 39.10 K.upf
I 126.90 I.upf
N 14.01 N.upf
CELL_PARAMETERS angstrom
12.857 0.000 0.000
0.000 7.590 0.000
-2.886 0.000 5.397
ATOMIC_POSITIONS angstrom
K 0.000 0.000 0.000
K 6.429 3.795 0.000
I 0.001 0.000 3.471
I 3.542 3.795 1.925
I 6.429 3.795 3.471
I 9.971 0.000 1.925
N -2.431 3.795 5.075
N 5.974 0.000 0.322
N 3.998 0.000 5.075
N 12.402 3.795 0.322
! * SG: C2/m, No. 12
! * energy relative to the lowest polymorph listed for this composition: 0.000 eV/atom
! * formation energy (no corrections): -406 meV per atom
! * total magnetization: 1.0 μB/f.u.